No. 1
A relaxed Nd13Ho2 crystal, computed with PBE.

Cell and atoms, written as POSCAR:
```
Nd13Ho2
1.0
-5.1311 -4.4370 0.3605
5.7598 -4.2975 5.7053
-6.0290 5.4415 4.2784
Nd Ho
13 2
Cartesian
-2.8017 -1.2406 8.4944 Nd
2.3920 -3.1895 5.5600 Nd
-4.3920 -1.1527 5.0284 Nd
-0.1442 -5.6702 3.9506 Nd
-5.1913 1.9547 3.0619 Nd
-2.5986 -2.0523 1.8497 Nd
-5.2561 2.3772 6.3935 Nd
-3.5115 -4.5811 3.8158 Nd
-1.0083 -2.1402 5.3157 Nd
-1.8889 1.2881 6.5283 Nd
0.0000 0.0000 0.0000 Nd
-7.7923 -0.1035 4.7841 Nd
-0.2090 -5.2477 7.2822 Nd
-3.6327 -4.2012 7.1479 Ho
-1.7676 0.9083 3.1963 Ho
```

Computed properties:
DFT formation energy = 0.0558 eV/atom

No. 2
A relaxed W2BrCl crystal, computed with PBE.

Cell and atoms, written as POSCAR:
```
W2BrCl
1.0
4.2498 1.3572 -0.3968
1.2872 3.8890 1.8107
2.6878 0.0214 3.5826
Cl W Br
1 2 1
Cartesian
0.0000 0.0000 0.0000 Cl
6.1686 3.9506 3.7474 W
2.0562 1.3169 1.2491 W
4.1124 2.6338 2.4983 Br
```

Computed properties:
Formation energy (no corrections) = 1.6123 eV/atom

No. 3
A relaxed Ce2ScTl3S6 crystal, computed with PBE.

Cell and atoms, written as POSCAR:
```
Ce2ScTl3S6
1.0
7.0272 0.0049 0.0015
-3.5077 6.0892 0.0015
-1.1721 -2.0295 7.4936
S Ce Tl Sc
6 2 3 1
Cartesian
2.4150 4.1815 1.4931 S
0.1446 4.0608 6.0348 S
3.4451 2.1547 6.0348 S
2.2028 0.0037 1.4618 S
-0.0676 -0.1170 6.0035 S
-1.0977 1.9099 1.4618 S
0.0042 4.0609 0.0015 Ce
3.5153 2.0331 0.0015 Ce
4.6848 0.0045 3.7483 Tl
-2.3374 4.0601 3.7483 Tl
1.1737 2.0323 3.7483 Tl
0.0000 0.0000 0.0000 Sc
```

Computed properties:
Formation energy (no corrections) = -1.3753 eV/atom

No. 4
A relaxed Sr2Ca6PtAu crystal, computed with PBE.

Cell and atoms, written as POSCAR:
```
Sr2Ca6PtAu
1.0
-6.7657 4.6184 0.1681
-0.4438 -0.9461 8.1266
-0.3521 6.5747 4.8766
Ca Pt Sr Au
6 1 2 1
Cartesian
-1.8400 0.9372 2.1169 Ca
-2.0572 0.4740 6.0955 Ca
-5.1524 3.1983 2.1991 Ca
-5.7216 9.3098 11.0543 Ca
-2.0123 4.1561 4.5044 Ca
-5.5493 6.0910 8.6669 Ca
-3.6048 1.8362 4.1473 Pt
-2.2003 3.7324 8.5752 Sr
-5.3613 6.5146 4.5960 Sr
0.0000 0.0000 0.0000 Au
```

Computed properties:
DFT formation energy = -0.4116 eV/atom

No. 5
A relaxed ScGa4CuRu2 crystal, computed with PBE.

Cell and atoms, written as POSCAR:
```
ScGa4CuRu2
1.0
-4.2178 -1.0090 -0.5482
-2.5479 -0.7095 3.4804
-3.9568 6.4400 1.1614
Sc Ga Cu Ru
1 4 1 2
Cartesian
0.0000 0.0000 0.0000 Sc
-3.2884 3.6852 1.0891 Ga
-7.4341 1.0363 3.0045 Ga
-5.9607 4.8314 2.1116 Ga
-4.7618 -0.1098 1.9820 Ga
-5.3612 2.3608 2.0468 Cu
-2.6683 1.1298 1.0221 Ru
-8.0541 3.5917 3.0716 Ru
```

Computed properties:
DFT formation energy = -0.3009 eV/atom

No. 6
A relaxed Zn2PW crystal, computed with PBE.

Cell and atoms, written as POSCAR:
```
Zn2PW
1.0
-4.2501 0.1323 -2.8156
1.1650 -3.8780 3.1003
-1.8387 0.6153 2.1001
Zn W P
2 1 1
Cartesian
0.5825 -1.9390 1.5502 Zn
-2.1250 0.0662 -1.4078 Zn
-2.4619 -1.5652 1.1925 W
-0.9194 0.3076 1.0501 P
```

Computed properties:
DFT formation energy = 0.2779 eV/atom

No. 7
A relaxed Hf5CuRe4 crystal, computed with PBE.

Cell and atoms, written as POSCAR:
```
Hf5CuRe4
1.0
-1.4330 -0.8484 -2.8414
-0.2502 -3.1099 1.0548
-14.5884 3.3319 6.3625
Hf Cu Re
5 1 4
Cartesian
-5.2020 -0.9833 1.0084 Hf
-8.1358 -0.3132 2.2880 Hf
-2.3371 -1.6376 -0.2410 Hf
-13.9345 1.0112 4.8170 Hf
-11.0696 0.3569 3.5675 Hf
0.0000 0.0000 0.0000 Cu
-11.7361 2.6805 5.1185 Re
-5.8292 1.3313 2.5423 Re
-2.8523 0.6514 1.2440 Re
-8.7592 2.0005 3.8202 Re
```

Computed properties:
DFT formation energy = -0.3106 eV/atom

No. 8
A relaxed Hf2ScBr crystal, computed with PBE.

Cell and atoms, written as POSCAR:
```
Hf2ScBr
1.0
0.0000 3.5570 3.5570
3.5570 0.0000 3.5570
3.5570 3.5570 0.0000
Br Sc Hf
1 1 2
Cartesian
3.5570 3.5570 3.5570 Br
0.0000 0.0000 0.0000 Sc
1.7785 1.7785 1.7785 Hf
5.3355 5.3355 5.3355 Hf
```

Computed properties:
Formation energy (no corrections) = 0.5574 eV/atom